Here is a geometry-optimized TcGe6Os structure from Alexandria via LeMat-Bulk. Energies are from PBE-GGA.

VASP energy: -6.004 eV per atom
Energy relative to the elements: 0.1590 eV per atom
D(E_F): 0.3415 states/eV/atom

Lattice parameters (Å, degrees): 4.7794 5.3885 7.0212 109.94 90.18 116.14
Last column: nearest neighbours and their distance in Å.
Element x y z (fractional)
Tc 0.0000 0.0000 0.0000  6 Ge 2.39-2.64
Ge 0.1101 0.1727 0.6978  1 Tc 2.56, 2 Os 2.63-2.83, 2 Ge 2.65-2.73
Ge 0.2046 0.4979 0.2521  1 Tc 2.39, 1 Os 2.40
Ge 0.4324 0.8216 0.8032  1 Os 2.59, 2 Tc 2.64-2.82, 3 Ge 2.65-2.88
Ge 0.5676 0.1784 0.1968  1 Os 2.59, 2 Tc 2.64-2.82, 3 Ge 2.65-2.88
Ge 0.7954 0.5021 0.7479  1 Tc 2.39, 1 Os 2.40
Ge 0.8899 0.8273 0.3022  1 Tc 2.56, 2 Os 2.63-2.83, 2 Ge 2.65-2.73
Os 0.5000 0.0000 0.5000  6 Ge 2.40-2.63


Here is a geometry-optimized Tm2Al3Ge4 structure from Alexandria via LeMat-Bulk. Energies are from PBE-GGA.

VASP energy: -4.683 eV per atom
Energy relative to the elements: -0.3893 eV per atom
D(E_F): 0.3104 states/eV/atom

Lattice parameters (Å, degrees): 7.9089 7.9089 7.7773 90.00 90.00 134.58
Last column: nearest neighbours and their distance in Å.
Element x y z (fractional)
Tm 0.1139 0.8861 0.9178  8 Ge 3.03-3.24, 4 Al 3.20-3.35
Tm 0.3861 0.6139 0.4178  8 Ge 3.03-3.24, 4 Al 3.20-3.35
Tm 0.6139 0.3861 0.5822  8 Ge 3.03-3.24, 4 Al 3.20-3.35
Tm 0.8861 0.1139 0.0822  8 Ge 3.03-3.24, 4 Al 3.20-3.35
Al 0.0000 0.0000 0.5000  6 Ge 2.55-2.75
Al 0.0344 0.4656 0.7500  3 Ge 2.52-2.60
Al 0.4656 0.0344 0.2500  3 Ge 2.52-2.60
Al 0.5000 0.5000 0.0000  6 Ge 2.55-2.75
Al 0.5344 0.9656 0.7500  3 Ge 2.52-2.60
Al 0.9656 0.5344 0.2500  3 Ge 2.52-2.60
Ge 0.1864 0.8136 0.5523  5 Al 2.60-2.84
Ge 0.2068 0.2932 0.7500  3 Al 2.52-2.55
Ge 0.2932 0.2068 0.2500  3 Al 2.52-2.55
Ge 0.3136 0.6864 0.0523  5 Al 2.60-2.84
Ge 0.6864 0.3136 0.9477  5 Al 2.60-2.84
Ge 0.7068 0.7932 0.7500  3 Al 2.52-2.55
Ge 0.7932 0.7068 0.2500  3 Al 2.52-2.55
Ge 0.8136 0.1864 0.4477  5 Al 2.60-2.84